A plane-wave DFT calculation with GGA-PBEsol was carried out for an optimized crystal structure of HgIr.

Properties
- space-group type = P4/nmm (129)
- DFT formation energy (eV per formula unit) = 0.7

a b c (Å): 2.845 2.845 8.527
angles (deg): 90.00 90.00 90.00
Positions (direct):
Hg 0.500 0.000 0.149
Hg 0.000 0.500 0.851
Ir 0.500 0.000 0.600
Ir 0.000 0.500 0.400

---

A plane-wave DFT calculation with GGA-PBEsol was carried out for an optimized crystal structure of KHg2Ir.

Properties
- space-group type = Fm-3m (225)
- relative energy among the computed polymorphs (eV/atom) = 0.009
- DFT formation energy (eV per formula unit) = 1.9

a b c (Å): 4.895 4.900 4.900
angles (deg): 60.05 60.03 60.03
Positions (direct):
Hg 0.249 0.751 0.751
Hg 0.751 0.249 0.249
Ir 0.500 0.000 0.000
K 0.000 0.500 0.500

---

A plane-wave DFT calculation with GGA-PBEsol was carried out for an optimized crystal structure of KHgIr2.

Properties
- space-group type = R-3m (166)
- DFT formation energy (eV per formula unit) = 2.9

a b c (Å): 2.851 2.851 10.257
angles (deg): 82.01 82.01 60.00
Positions (direct):
Hg 0.000 0.000 0.000
Ir 0.258 0.258 0.227
Ir 0.742 0.742 0.773
K 0.500 0.500 0.500

---

A plane-wave DFT calculation with GGA-PBEsol was carried out for an optimized crystal structure of KHg2Ir.

Properties
- space-group type = R-3m (166)
- relative energy among the computed polymorphs (eV/atom) = 0.000
- DFT formation energy (eV per formula unit) = 1.9

a b c (Å): 3.039 3.039 10.406
angles (deg): 81.60 81.60 60.00
Positions (direct):
Hg 0.240 0.240 0.280
Hg 0.760 0.760 0.720
Ir 0.500 0.500 0.500
K 0.000 0.000 0.000

---

A plane-wave DFT calculation with GGA-PBEsol was carried out for an optimized crystal structure of KHg2IrPb.

Properties
- space-group type = P4/mmm (123)
- DFT formation energy (eV per formula unit) = 7.3

a b c (Å): 5.479 5.479 4.900
angles (deg): 90.00 90.00 90.00
Positions (direct):
Pb 0.500 0.500 0.500
K 0.000 0.000 0.000
Ir 0.000 0.000 0.500
Hg 0.000 0.500 0.000
Hg 0.500 0.000 0.000

---

A plane-wave DFT calculation with GGA-PBEsol was carried out for an optimized crystal structure of KSiHgIr2.

Properties
- formation energy from raw total energies (kJ/mol of formula units) = 945
- space-group type = P4/mmm (123)

a b c (Å): 4.966 4.966 5.253
angles (deg): 90.00 90.00 90.00
Positions (direct):
K 0.000 0.000 0.500
Ir 0.000 0.500 0.000
Ir 0.500 0.000 0.000
Si 0.500 0.500 0.500
Hg 0.000 0.000 0.000

---

A plane-wave DFT calculation with GGA-PBEsol was carried out for an optimized crystal structure of La2HgIr.

Properties
- space-group type = R-3m (166)
- DFT formation energy (eV per formula unit) = -2.4

a b c (Å): 4.128 4.128 8.119
angles (deg): 75.27 75.27 60.00
Positions (direct):
Ir 0.000 0.000 0.000
Hg 0.500 0.500 0.500
La 0.266 0.266 0.202
La 0.734 0.734 0.798

---

A plane-wave DFT calculation with GGA-PBEsol was carried out for an optimized crystal structure of La2HgIr.

Properties
- space-group type = P4/mmm (123)
- DFT formation energy (eV per formula unit) = -2.3

a b c (Å): 3.620 3.620 7.664
angles (deg): 90.00 90.00 90.00
Positions (direct):
Ir 0.500 0.500 0.500
Hg 0.500 0.500 0.000
La 0.000 0.000 0.718
La 0.000 0.000 0.282

---

A plane-wave DFT calculation with GGA-PBEsol was carried out for an optimized crystal structure of Li2HgIr.

Properties
- space-group type = R-3m (166)
- DFT formation energy (eV per formula unit) = -0.4

a b c (Å): 2.799 2.799 9.215
angles (deg): 81.27 81.27 60.00
Positions (direct):
Hg 0.500 0.500 0.500
Ir 0.000 0.000 0.000
Li 0.259 0.259 0.224
Li 0.741 0.741 0.776

---

A plane-wave DFT calculation with GGA-PBEsol was carried out for an optimized crystal structure of LiHgIr4.

Properties
- space-group type = F-43m (216)
- DFT formation energy (eV per formula unit) = 2.2

a b c (Å): 5.169 5.169 5.169
angles (deg): 60.00 60.00 60.00
Positions (direct):
Hg 0.000 0.000 0.000
Ir 0.375 0.375 0.375
Ir 0.375 0.375 0.874
Ir 0.874 0.375 0.375
Ir 0.375 0.874 0.375
Li 0.750 0.750 0.750

---

A plane-wave DFT calculation with GGA-PBEsol was carried out for an optimized crystal structure of Li2HgIr.

Properties
- space-group type = R3m (160)
- DFT formation energy (eV per formula unit) = 0.3

a b c (Å): 2.833 2.833 9.517
angles (deg): 81.43 81.43 60.06
Positions (direct):
Hg 0.500 0.500 0.499
Ir 0.254 0.254 0.239
Li 0.992 0.992 0.025
Li 0.754 0.754 0.737

---

A plane-wave DFT calculation with GGA-PBEsol was carried out for an optimized crystal structure of LiHg2Ir.

Properties
- space-group type = F-43m (216)
- DFT formation energy (eV per formula unit) = 0.8

a b c (Å): 4.565 4.565 4.565
angles (deg): 60.00 60.00 60.00
Positions (direct):
Hg 0.000 0.000 0.000
Hg 0.250 0.250 0.250
Ir 0.500 0.500 0.500
Li 0.750 0.750 0.750

---

A plane-wave DFT calculation with GGA-PBEsol was carried out for an optimized crystal structure of Li2HgIr.

Properties
- space-group type = Pmmm (47)
- DFT formation energy (eV per formula unit) = -0.4

a b c (Å): 2.698 4.003 5.523
angles (deg): 90.00 90.00 90.00
Positions (direct):
Hg 0.500 0.500 0.000
Ir 0.500 0.500 0.500
Li 0.000 0.000 0.719
Li 0.000 0.000 0.281

---

A plane-wave DFT calculation with GGA-PBEsol was carried out for an optimized crystal structure of MgHg2Ir.

Properties
- space-group type = C2/m (12)
- relative energy among the computed polymorphs (eV/atom) = 0.111
- DFT formation energy (eV per formula unit) = 0.5

a b c (Å): 3.091 4.956 5.586
angles (deg): 116.03 105.62 90.97
Positions (direct):
Hg 0.000 0.500 0.500
Hg 0.500 0.000 0.500
Ir 0.000 0.000 0.000
Mg 0.500 0.500 0.000

---

A plane-wave DFT calculation with GGA-PBEsol was carried out for an optimized crystal structure of MgHg2Ir.

Properties
- space-group type = I-4m2 (119)
- relative energy among the computed polymorphs (eV/atom) = 0.002
- DFT formation energy (eV per formula unit) = 0.0

a b c (Å): 4.029 4.029 5.185
angles (deg): 112.86 112.86 90.00
Positions (direct):
Hg 0.000 0.000 0.000
Hg 0.250 0.750 0.500
Ir 0.500 0.500 0.000
Mg 0.750 0.250 0.500

---

A plane-wave DFT calculation with GGA-PBEsol was carried out for an optimized crystal structure of MgHg2Ir.

Properties
- space-group type = P4/mmm (123)
- relative energy among the computed polymorphs (eV/atom) = 0.000
- DFT formation energy (eV per formula unit) = 0.0

a b c (Å): 4.029 4.162 4.162
angles (deg): 90.00 90.00 90.00
Positions (direct):
Hg 0.000 0.000 0.500
Hg 0.000 0.500 0.000
Ir 0.500 0.500 0.500
Mg 0.500 0.000 0.000

---

A plane-wave DFT calculation with GGA-PBEsol was carried out for an optimized crystal structure of MgHgIr2.

Properties
- space-group type = F-43m (216)
- DFT formation energy (eV per formula unit) = 1.0

a b c (Å): 4.496 4.496 4.496
angles (deg): 60.00 60.00 60.00
Site moments in Bohr magnetons follow the coordinates.
Positions (direct):
Hg 0.500 0.500 0.500  0.01
Ir 0.000 0.000 0.000  0.66
Ir 0.750 0.750 0.750  0.53
Mg 0.250 0.250 0.250  0.00

---

A plane-wave DFT calculation with GGA-PBEsol was carried out for an optimized crystal structure of MgHg2Ir.

Properties
- space-group type = F-43m (216)
- relative energy among the computed polymorphs (eV/atom) = 0.128
- DFT formation energy (eV per formula unit) = 0.5

a b c (Å): 4.655 4.655 4.655
angles (deg): 60.00 60.00 60.00
Positions (direct):
Hg 0.000 0.000 0.000
Hg 0.750 0.750 0.750
Ir 0.500 0.500 0.500
Mg 0.250 0.250 0.250

---

A plane-wave DFT calculation with GGA-PBEsol was carried out for an optimized crystal structure of MgHg2Ir.

Properties
- space-group type = Pmmm (47)
- relative energy among the computed polymorphs (eV/atom) = 0.073
- DFT formation energy (eV per formula unit) = 0.3

a b c (Å): 3.090 3.962 5.793
angles (deg): 90.00 90.00 90.00
Positions (direct):
Hg 0.000 0.000 0.755
Hg 0.000 0.000 0.245
Ir 0.500 0.500 0.000
Mg 0.500 0.500 0.500

---

A plane-wave DFT calculation with GGA-PBEsol was carried out for an optimized crystal structure of MnHgIr2.

Properties
- space-group type = Pmm2 (25)
- DFT formation energy (eV per formula unit) = 1.0

a b c (Å): 2.792 3.827 5.674
angles (deg): 90.00 90.00 90.00
Site moments in Bohr magnetons follow the coordinates.
Positions (direct):
Hg 0.000 0.500 0.747  0.00
Ir 0.500 0.000 0.026  -0.11
Ir 0.000 0.500 0.256  -0.06
Mn 0.500 0.000 0.471  3.25

---

A plane-wave DFT calculation with GGA-PBEsol was carried out for an optimized crystal structure of MnHgIr2.

Properties
- space-group type = P4/mmm (123)
- DFT formation energy (eV per formula unit) = 1.2

a b c (Å): 3.789 3.982 3.982
angles (deg): 90.00 90.00 90.00
Site moments in Bohr magnetons follow the coordinates.
Positions (direct):
Hg 0.500 0.000 0.000  0.01
Ir 0.000 0.000 0.500  0.01
Ir 0.000 0.500 0.000  0.01
Mn 0.500 0.500 0.500  3.38

---

A plane-wave DFT calculation with GGA-PBEsol was carried out for an optimized crystal structure of MnHgIr2.

Properties
- space-group type = P4/mmm (123)
- DFT formation energy (eV per formula unit) = 0.6

a b c (Å): 2.815 2.815 7.497
angles (deg): 90.00 90.00 90.00
Site moments in Bohr magnetons follow the coordinates.
Positions (direct):
Hg 0.500 0.500 0.500  -0.01
Ir 0.000 0.000 0.789  -0.04
Ir 0.000 0.000 0.211  -0.04
Mn 0.500 0.500 0.000  2.29

---

A plane-wave DFT calculation with GGA-PBEsol was carried out for an optimized crystal structure of MnHg3Ir.

Properties
- space-group type = Pm-3m (221)
- relative energy among the computed polymorphs (eV/atom) = 0.000
- DFT formation energy (eV per formula unit) = 4.6

a b c (Å): 5.133 5.133 5.133
angles (deg): 90.00 90.00 90.00
Site moments in Bohr magnetons follow the coordinates.
Positions (direct):
Ir 0.000 0.000 0.000  0.21
Hg 0.000 0.500 0.000  0.01
Hg 0.000 0.000 0.500  0.01
Hg 0.500 0.000 0.000  0.01
Mn 0.500 0.500 0.500  4.61

---

A plane-wave DFT calculation with GGA-PBEsol was carried out for an optimized crystal structure of Mn2HgIr.

Properties
- space-group type = I-4m2 (119)
- DFT formation energy (eV per formula unit) = 1.3

a b c (Å): 3.884 3.884 4.843
angles (deg): 113.64 113.64 90.00
Site moments in Bohr magnetons follow the coordinates.
Positions (direct):
Hg 0.500 0.500 0.000  -0.01
Ir 0.250 0.750 0.500  0.32
Mn 0.000 0.000 0.000  3.47
Mn 0.750 0.250 0.500  3.52

---

A plane-wave DFT calculation with GGA-PBEsol was carried out for an optimized crystal structure of MnHgIr.

Properties
- space-group type = P3m1 (156)
- DFT formation energy (eV per formula unit) = 1.0

a b c (Å): 2.860 2.860 6.594
angles (deg): 90.00 90.00 120.00
Site moments in Bohr magnetons follow the coordinates.
Positions (direct):
Hg 0.000 0.000 0.009  -0.03
Ir 0.667 0.333 0.639  0.00
Mn 0.333 0.667 0.352  2.98

---

A plane-wave DFT calculation with GGA-PBEsol was carried out for an optimized crystal structure of MnHgIr2.

Properties
- space-group type = C2/m (12)
- DFT formation energy (eV per formula unit) = 0.9

a b c (Å): 2.810 4.780 4.803
angles (deg): 102.58 90.00 107.09
Site moments in Bohr magnetons follow the coordinates.
Positions (direct):
Hg 0.500 0.000 0.000  0.00
Ir 0.735 0.469 0.728  0.09
Ir 0.265 0.531 0.272  0.09
Mn 0.000 0.000 0.500  3.18

---

A plane-wave DFT calculation with GGA-PBEsol was carried out for an optimized crystal structure of MnHgIr2.

Properties
- space-group type = R-3m (166)
- DFT formation energy (eV per formula unit) = 0.8

a b c (Å): 2.767 2.767 9.084
angles (deg): 81.24 81.24 60.00
Site moments in Bohr magnetons follow the coordinates.
Positions (direct):
Hg 0.000 0.000 0.000  -0.01
Ir 0.240 0.240 0.281  0.02
Ir 0.760 0.760 0.719  0.02
Mn 0.500 0.500 0.500  2.04

---

A plane-wave DFT calculation with GGA-PBEsol was carried out for an optimized crystal structure of MnHg2IrS.

Properties
- formation energy from raw total energies (kJ/mol of formula units) = 490
- space-group type = P4/mmm (123)

a b c (Å): 3.930 4.977 4.977
angles (deg): 90.00 90.00 90.00
Site moments in Bohr magnetons follow the coordinates.
Positions (direct):
S 0.500 0.000 0.000  -0.03
Ir 0.500 0.500 0.500  0.77
Hg 0.000 0.000 0.500  0.00
Hg 0.000 0.500 0.000  0.00
Mn 0.000 0.000 0.000  1.23

---

A plane-wave DFT calculation with GGA-PBEsol was carried out for an optimized crystal structure of HgMoIr3.

Properties
- space-group type = Pm-3m (221)
- relative energy among the computed polymorphs (eV/atom) = 0.000
- DFT formation energy (eV per formula unit) = 8.5

a b c (Å): 4.667 4.667 4.667
angles (deg): 90.00 90.00 90.00
Positions (direct):
Mo 0.000 0.000 0.000
Ir 0.000 0.500 0.000
Ir 0.000 0.000 0.500
Ir 0.500 0.000 0.000
Hg 0.500 0.500 0.500

---

A plane-wave DFT calculation with GGA-PBEsol was carried out for an optimized crystal structure of HgMoIr3.

Properties
- space-group type = Pm-3m (221)
- relative energy among the computed polymorphs (eV/atom) = 1.210
- DFT formation energy (eV per formula unit) = 14.5

a b c (Å): 4.777 4.777 4.777
angles (deg): 90.00 90.00 90.00
Site moments in Bohr magnetons follow the coordinates.
Positions (direct):
Mo 0.500 0.500 0.500  2.65
Ir 0.000 0.500 0.000  -0.43
Ir 0.000 0.000 0.500  -0.43
Ir 0.500 0.000 0.000  -0.43
Hg 0.000 0.000 0.000  -0.02